1.
Tb4NO5: relaxed, GGA-PBE.

a b c (Å): 7.7288 7.7288 5.7100
angles (deg): 90.66 90.66 26.08
Element x y z (fractional)
Tb 0.0594 0.0594 0.2477
Tb 0.2968 0.2968 0.2501
Tb 0.7032 0.7032 0.7499
Tb 0.9406 0.9406 0.7523
N 0.5000 0.5000 0.5000
O 0.1749 0.1749 0.0020
O 0.1749 0.1749 0.4930
O 0.5000 0.5000 0.0000
O 0.8251 0.8251 0.5070
O 0.8251 0.8251 0.9980

Formation energy without anion corrections = -2.955 eV per atom

=====

2.
Ce4CoPt2: relaxed, GGA-PBE.

a b c (Å): 7.0437 3.8132 7.1967
angles (deg): 90.00 106.24 90.00
Element x y z (fractional)
Ce 0.0754 0.0000 0.2781
Ce 0.4022 0.5000 0.7362
Ce 0.5978 0.5000 0.2638
Ce 0.9246 0.0000 0.7219
Co 0.0000 0.5000 0.5000
Pt 0.3016 0.0000 0.0113
Pt 0.6984 0.0000 0.9887

DFT formation energy = -0.50 eV/atom

=====

3.
ErTcSe: relaxed, GGA-PBE.

a b c (Å): 11.3675 11.3675 11.3675
angles (deg): 20.60 20.60 20.60
Element x y z (fractional)
Er 0.0723 0.0723 0.0723
Er 0.9277 0.9277 0.9277
Tc 0.3371 0.3371 0.3371
Tc 0.6629 0.6629 0.6629
Se 0.2182 0.2182 0.2182
Se 0.7818 0.7818 0.7818

Formation energy without anion corrections = -0.639 eV per atom

=====

4.
Dy3ScIn4: relaxed, GGA-PBE.

a b c (Å): 3.6673 3.6673 15.2076
angles (deg): 90.00 90.00 90.00
Element x y z (fractional)
Dy 0.0000 0.0000 0.0000
Dy 0.0000 0.0000 0.2593
Dy 0.0000 0.0000 0.7407
Sc 0.0000 0.0000 0.5000
In 0.5000 0.5000 0.1301
In 0.5000 0.5000 0.3885
In 0.5000 0.5000 0.6115
In 0.5000 0.5000 0.8699

DFT formation energy = -0.45 eV/atom

=====

5.
FeRe2Hg: relaxed, GGA-PBE.

a b c (Å): 2.7563 2.7563 8.0047
angles (deg): 90.00 90.00 90.00
Element x y z (fractional)
Fe 0.0000 0.0000 0.0000
Re 0.5000 0.5000 0.2116
Re 0.5000 0.5000 0.7884
Hg 0.0000 0.0000 0.5000

Relative energy among the computed polymorphs = 163.5 meV/atom
DFT formation energy = 0.53 eV/atom

=====

6.
ZrZn2Pt8: relaxed, GGA-PBE.

a b c (Å): 7.4212 7.4212 6.3539
angles (deg): 106.91 106.91 31.44
Element x y z (fractional)
Zr 0.0000 0.0000 0.0000
Zn 0.2760 0.2760 0.3589
Zn 0.7240 0.7240 0.6411
Pt 0.0974 0.0974 0.4604
Pt 0.1832 0.1832 0.9257
Pt 0.3600 0.3600 0.8071
Pt 0.4534 0.4534 0.2772
Pt 0.5466 0.5466 0.7228
Pt 0.6400 0.6400 0.1929
Pt 0.8168 0.8168 0.0743
Pt 0.9026 0.9026 0.5396

DFT formation energy = -0.55 eV/atom

=====

7.
PaGaNi5: relaxed, GGA-PBE.

a b c (Å): 7.8882 4.8416 9.9143
angles (deg): 90.00 90.00 90.00
Element x y z (fractional)
Pa 0.2488 0.2500 0.0538
Pa 0.2512 0.7500 0.5538
Pa 0.7488 0.2500 0.4462
Pa 0.7512 0.7500 0.9462
Ga 0.1468 0.7500 0.8537
Ga 0.3532 0.2500 0.3537
Ga 0.6468 0.7500 0.6463
Ga 0.8532 0.2500 0.1463
Ni 0.0610 0.7500 0.0888
Ni 0.0658 0.0058 0.3039
Ni 0.0658 0.4942 0.3039
Ni 0.0941 0.2500 0.5176
Ni 0.1835 0.2500 0.7554
Ni 0.3165 0.7500 0.2554
Ni 0.4059 0.7500 0.0176
Ni 0.4342 0.5058 0.8039
Ni 0.4342 0.9942 0.8039
Ni 0.4390 0.2500 0.5888
Ni 0.5610 0.7500 0.4112
Ni 0.5658 0.0058 0.1961
Ni 0.5658 0.4942 0.1961
Ni 0.5941 0.2500 0.9824
Ni 0.6835 0.2500 0.7446
Ni 0.8165 0.7500 0.2446
Ni 0.9059 0.7500 0.4824
Ni 0.9342 0.5058 0.6961
Ni 0.9342 0.9942 0.6961
Ni 0.9390 0.2500 0.9112

Relative energy among the computed polymorphs = 0.0 meV/atom
DFT formation energy = -0.42 eV/atom

=====

8.
Sb2PBr: relaxed, GGA-PBE.

a b c (Å): 9.2222 9.2222 9.2222
angles (deg): 144.88 144.88 50.52
Element x y z (fractional)
Sb 0.0361 0.6250 0.9111
Sb 0.3750 0.2861 0.4111
Sb 0.7139 0.1250 0.0889
Sb 0.8750 0.9639 0.5889
P 0.0000 0.0000 0.0000
P 0.7500 0.2500 0.5000
Br 0.2500 0.7500 0.5000
Br 0.5000 0.5000 0.0000

Formation energy without anion corrections = 0.224 eV per atom
Relative energy among the computed polymorphs = 228.5 meV/atom

=====

Number 1: total magnetization 1.00 Bohr magnetons per cell. Number 2: total magnetization 2.97 Bohr magnetons per cell. Number 3: total magnetization 0.00 Bohr magnetons per cell. Number 4: total magnetization 0.00 Bohr magnetons per cell. Number 5: total magnetization 0.99 Bohr magnetons per cell. Number 6: total magnetization 0.00 Bohr magnetons per cell. Number 7: total magnetization 0.00 Bohr magnetons per cell. Number 8: total magnetization 0.00 Bohr magnetons per cell.